# 1
Mg3ZnPb after structural relaxation. Source: Alexandria via LeMat-Bulk, functional GGA-PBE.

Unit cell a=5.4896 b=5.4896 c=5.4896 alpha=90.00 beta=90.00 gamma=90.00
Last column: nearest neighbours and their distance in Å.
Sites, in units of the cell vectors:
Mg 0.0000 0.5000 0.0000  2 Pb 2.74
Zn 0.5000 0.5000 0.5000  12 Mg 3.88
Pb 0.0000 0.0000 0.0000  6 Mg 2.74
Mg 0.0000 0.0000 0.5000  2 Pb 2.74
Mg 0.5000 0.0000 0.0000  2 Pb 2.74

The formation energy is 0.475 eV/atom. The calculation puts the energy above the most stable polymorph in this dataset at 49.9 kJ per mole of atoms. The space-group type is Pm-3m (221). The calculation puts the total energy at -1.48 eV/atom. The value obtained for the density is 3.5 g/cm³.

# 2
Mg5ZnPb4 after structural relaxation. Source: Alexandria via LeMat-Bulk, functional GGA-PBE.

Unit cell a=3.4403 b=3.4403 c=20.8408 alpha=90.00 beta=90.00 gamma=90.00
Last column: nearest neighbours and their distance in Å.
Sites, in units of the cell vectors:
Mg 0.5000 0.5000 0.7097  8 Pb 3.27-3.29, 4 Mg 3.44
Pb 0.0000 0.0000 0.1842  8 Mg 3.29, 4 Pb 3.44
Mg 0.5000 0.5000 0.5000  8 Pb 3.27, 4 Mg 3.44
Mg 0.5000 0.5000 0.0778  4 Zn 2.92, 1 Mg 3.24
Pb 0.0000 0.0000 0.8158  8 Mg 3.29, 4 Pb 3.44
Pb 0.0000 0.0000 0.3952  8 Mg 3.27, 4 Pb 3.44
Mg 0.5000 0.5000 0.2903  8 Pb 3.27-3.29, 4 Mg 3.44
Zn 0.0000 0.0000 0.0000  8 Mg 2.92
Pb 0.0000 0.0000 0.6048  8 Mg 3.27, 4 Pb 3.44
Mg 0.5000 0.5000 0.9222  4 Zn 2.92, 1 Mg 3.24

The formation energy is -0.053 eV/atom. The space-group type is P4/mmm (123). The calculation puts the total energy at -2.46 eV/atom. The value obtained for the density is 6.8 g/cm³.

# 3
Mg5ZnPb after structural relaxation. Source: Alexandria via LeMat-Bulk, functional GGA-PBE.

Unit cell a=5.9484 b=5.9484 c=9.5110 alpha=92.94 beta=92.94 gamma=86.70
Last column: nearest neighbours and their distance in Å.
Sites, in units of the cell vectors:
Mg 0.8032 0.1968 0.2500  1 Zn 2.71, 2 Pb 2.87, 2 Mg 2.99
Mg 0.6420 0.9966 0.7166  1 Zn 2.87, 2 Mg 2.99-3.15, 1 Pb 3.04
Mg 0.2560 0.4450 0.4943  2 Zn 2.79-2.85, 2 Mg 3.01-3.08
Mg 0.7440 0.5550 0.5057  2 Zn 2.79-2.85, 2 Mg 3.01-3.08
Zn 0.5282 0.4718 0.7500  7 Mg 2.71-2.87
Pb 0.0000 0.0000 0.0000  6 Mg 2.87-3.13
Mg 0.9966 0.6420 0.2166  1 Zn 2.87, 2 Mg 2.99-3.15, 1 Pb 3.04
Mg 0.3580 0.0034 0.2834  1 Zn 2.87, 2 Mg 2.99-3.15, 1 Pb 3.04
Mg 0.4450 0.2560 0.9943  2 Zn 2.79-2.85, 2 Mg 3.01-3.08
Pb 0.0000 0.0000 0.5000  6 Mg 2.87-3.13
Mg 0.0034 0.3580 0.7834  1 Zn 2.87, 2 Mg 2.99-3.15, 1 Pb 3.04
Mg 0.5550 0.7440 0.0057  2 Zn 2.79-2.85, 2 Mg 3.01-3.08
Mg 0.1968 0.8032 0.7500  1 Zn 2.71, 2 Pb 2.87, 2 Mg 2.99
Zn 0.4718 0.5282 0.2500  7 Mg 2.71-2.87

The formation energy is 0.031 eV/atom. The calculation puts the energy above the most stable polymorph in this dataset at 3.9 kJ per mole of atoms. The space-group type is C2/c (15). The calculation puts the total energy at -1.82 eV/atom. The value obtained for the density is 3.9 g/cm³.

# 4
MgZnPb after structural relaxation. Source: Alexandria via LeMat-Bulk, functional GGA-PBE.

Unit cell a=5.3477 b=5.2906 c=5.7729 alpha=108.82 beta=112.96 gamma=83.42
Last column: nearest neighbours and their distance in Å.
Sites, in units of the cell vectors:
Zn 0.1958 0.7523 0.1345  1 Zn 2.67, 3 Mg 2.89-2.96
Mg 0.5968 0.7813 0.9153  4 Zn 2.89-3.01, 2 Mg 3.01-3.23, 2 Pb 3.16-3.20
Zn 0.3340 0.2980 0.8417  1 Zn 2.67, 3 Mg 2.89-2.96
Pb 0.9757 0.7844 0.5550  3 Zn 3.04-3.14, 3 Mg 3.16-3.27, 1 Pb 3.28
Mg 0.9331 0.2692 0.0610  4 Zn 2.89-3.01, 2 Mg 3.01-3.23, 2 Pb 3.16-3.20
Pb 0.5544 0.2660 0.4214  3 Zn 3.04-3.14, 3 Mg 3.16-3.27, 1 Pb 3.28

The formation energy is 0.077 eV/atom. The space-group type is P-1 (2). The calculation puts the total energy at -2.11 eV/atom. The value obtained for the density is 6.9 g/cm³.

# 5
Mg12ZnPb3 after structural relaxation. Source: Alexandria via LeMat-Bulk, functional GGA-PBE.

Unit cell a=4.4848 b=4.4848 c=18.2950 alpha=90.00 beta=90.00 gamma=90.00
Last column: nearest neighbours and their distance in Å.
Sites, in units of the cell vectors:
Pb 0.0000 0.0000 0.2436  12 Mg 3.17-3.27
Mg 0.5000 0.5000 0.0000  8 Mg 3.06, 4 Zn 3.17
Mg 0.0000 0.5000 0.1136  8 Mg 3.06-3.26, 2 Zn 3.06, 2 Pb 3.27
Zn 0.0000 0.0000 0.0000  12 Mg 3.06-3.17
Mg 0.5000 0.0000 0.3718  8 Mg 3.17-3.25, 4 Pb 3.24-3.25
Mg 0.0000 0.5000 0.6282  8 Mg 3.17-3.25, 4 Pb 3.24-3.25
Pb 0.0000 0.0000 0.7564  12 Mg 3.17-3.27
Mg 0.5000 0.0000 0.8864  2 Zn 3.06, 8 Mg 3.06-3.26, 2 Pb 3.27
Mg 0.0000 0.5000 0.3718  8 Mg 3.17-3.25, 4 Pb 3.24-3.25
Mg 0.5000 0.5000 0.7570  4 Pb 3.17, 8 Mg 3.25-3.26
Mg 0.5000 0.0000 0.6282  8 Mg 3.17-3.25, 4 Pb 3.24-3.25
Mg 0.5000 0.5000 0.2430  4 Pb 3.17, 8 Mg 3.25-3.26
Pb 0.0000 0.0000 0.5000  12 Mg 3.17-3.25
Mg 0.0000 0.5000 0.8864  8 Mg 3.06-3.26, 2 Zn 3.06, 2 Pb 3.27
Mg 0.5000 0.0000 0.1136  2 Zn 3.06, 8 Mg 3.06-3.26, 2 Pb 3.27
Mg 0.5000 0.5000 0.5000  4 Pb 3.17, 8 Mg 3.25

The formation energy is -0.047 eV/atom. The space-group type is P4/mmm (123). The calculation puts the total energy at -2.02 eV/atom. The value obtained for the density is 4.4 g/cm³.

# 6
Mg3ZnPb after structural relaxation. Source: Alexandria via LeMat-Bulk, functional GGA-PBE.

Unit cell a=6.9857 b=6.9857 c=6.9857 alpha=90.00 beta=90.00 gamma=90.00
Last column: nearest neighbours and their distance in Å.
Sites, in units of the cell vectors:
Mg 0.2228 0.7772 0.7772  3 Zn 2.93, 3 Mg 3.11, 3 Pb 3.15
Pb 0.5000 0.5000 0.0000  10 Mg 3.15-3.49, 4 Zn 3.49
Zn 0.5000 0.0000 0.0000  8 Mg 2.93
Mg 0.7772 0.7772 0.7772  3 Zn 2.93, 3 Mg 3.11, 3 Pb 3.15
Mg 0.2228 0.2228 0.7772  3 Zn 2.93, 3 Mg 3.11, 3 Pb 3.15
Mg 0.7772 0.2228 0.7772  3 Zn 2.93, 3 Mg 3.11, 3 Pb 3.15
Mg 0.7772 0.7772 0.2228  3 Zn 2.93, 3 Mg 3.11, 3 Pb 3.15
Mg 0.7772 0.2228 0.2228  3 Zn 2.93, 3 Mg 3.11, 3 Pb 3.15
Mg 0.5000 0.5000 0.5000  8 Mg 3.35, 6 Pb 3.49
Zn 0.0000 0.0000 0.5000  8 Mg 2.93
Mg 0.2228 0.7772 0.2228  3 Zn 2.93, 3 Mg 3.11, 3 Pb 3.15
Pb 0.0000 0.5000 0.5000  10 Mg 3.15-3.49, 4 Zn 3.49
Mg 0.2228 0.2228 0.2228  3 Zn 2.93, 3 Mg 3.11, 3 Pb 3.15
Pb 0.5000 0.0000 0.5000  10 Mg 3.15-3.49, 4 Zn 3.49
Zn 0.0000 0.5000 0.0000  8 Mg 2.93

The formation energy is -0.009 eV/atom. The calculation puts the energy above the most stable polymorph in this dataset at 3.2 kJ per mole of atoms. The space-group type is Pm-3m (221). The calculation puts the total energy at -1.96 eV/atom. The value obtained for the density is 5.0 g/cm³.

# 7
Mg8ZnPb2 after structural relaxation. Source: Alexandria via LeMat-Bulk, functional GGA-PBE.

Unit cell a=4.5589 b=4.5589 c=12.4949 alpha=90.00 beta=90.00 gamma=90.00
Last column: nearest neighbours and their distance in Å.
Sites, in units of the cell vectors:
Mg 0.5000 0.5000 0.3137  4 Pb 3.22, 8 Mg 3.26-3.27
Mg 0.5000 0.5000 0.6863  4 Pb 3.22, 8 Mg 3.26-3.27
Mg 0.5000 0.0000 0.8735  2 Zn 2.77
Pb 0.0000 0.0000 0.6829  12 Mg 3.22-3.30
Mg 0.0000 0.5000 0.1265  2 Zn 2.77
Mg 0.0000 0.5000 0.8735  2 Zn 2.77
Zn 0.0000 0.0000 0.0000  8 Mg 2.77
Mg 0.5000 0.0000 0.5000  8 Mg 3.22-3.26, 4 Pb 3.23
Mg 0.5000 0.0000 0.1265  2 Zn 2.77
Mg 0.0000 0.5000 0.5000  8 Mg 3.22-3.26, 4 Pb 3.23
Pb 0.0000 0.0000 0.3171  12 Mg 3.22-3.30

The formation energy is -0.030 eV/atom. The calculation puts the energy above the most stable polymorph in this dataset at 0.0 kJ per mole of atoms. The space-group type is P4/mmm (123). The calculation puts the total energy at -1.98 eV/atom. The value obtained for the density is 4.3 g/cm³.

# 8
Mg4ZnPb after structural relaxation. Source: Alexandria via LeMat-Bulk, functional GGA-PBE.

Unit cell a=5.8587 b=5.8587 c=5.8587 alpha=60.00 beta=60.00 gamma=60.00
Last column: nearest neighbours and their distance in Å.
Sites, in units of the cell vectors:
Zn 0.0000 0.0000 0.0000  12 Mg 3.43, 4 Pb 3.59
Mg 0.3745 0.8764 0.3745  6 Mg 2.92-2.94
Mg 0.3745 0.3745 0.3745  6 Mg 2.92-2.94
Pb 0.7500 0.7500 0.7500  12 Mg 3.44, 4 Zn 3.59
Mg 0.8764 0.3745 0.3745  6 Mg 2.92-2.94
Mg 0.3745 0.3745 0.8764  6 Mg 2.92-2.94

The formation energy is 0.130 eV/atom. The calculation puts the energy above the most stable polymorph in this dataset at 16.7 kJ per mole of atoms. The space-group type is F-43m (216). The calculation puts the total energy at -1.76 eV/atom. The value obtained for the density is 4.3 g/cm³.

# 9
MgZnPb after structural relaxation. Source: Alexandria via LeMat-Bulk, functional GGA-PBE.

Unit cell a=6.2100 b=6.2100 c=6.2100 alpha=147.30 beta=147.30 gamma=46.92
Last column: nearest neighbours and their distance in Å.
Sites, in units of the cell vectors:
Pb 0.3269 0.3269 0.0000  4 Zn 3.19, 5 Mg 3.33-3.47, 4 Pb 3.50
Mg 0.0225 0.0225 0.0000  4 Zn 2.87
Zn 0.6506 0.6506 0.0000  4 Mg 2.87, 4 Pb 3.19

The formation energy is 0.041 eV/atom. The space-group type is I4mm (107). The calculation puts the total energy at -2.15 eV/atom. The value obtained for the density is 7.1 g/cm³.

# 10
MgZnPb3 after structural relaxation. Source: Alexandria via LeMat-Bulk, functional GGA-PBE.

Unit cell a=5.4343 b=5.4343 c=5.4343 alpha=90.00 beta=90.00 gamma=90.00
Last column: nearest neighbours and their distance in Å.
Sites, in units of the cell vectors:
Pb 0.5000 0.0000 0.0000  2 Zn 2.72
Zn 0.0000 0.0000 0.0000  6 Pb 2.72
Mg 0.5000 0.5000 0.5000  12 Pb 3.84
Pb 0.0000 0.0000 0.5000  2 Zn 2.72
Pb 0.0000 0.5000 0.0000  2 Zn 2.72

The formation energy is 0.328 eV/atom. The calculation puts the energy above the most stable polymorph in this dataset at 0.0 kJ per mole of atoms. The space-group type is Pm-3m (221). The calculation puts the total energy at -2.47 eV/atom. The value obtained for the density is 7.4 g/cm³.

Repeat the tenth record exactly.
MgZnPb3 after structural relaxation. Source: Alexandria via LeMat-Bulk, functional GGA-PBE.

Unit cell a=5.4343 b=5.4343 c=5.4343 alpha=90.00 beta=90.00 gamma=90.00
Last column: nearest neighbours and their distance in Å.
Sites, in units of the cell vectors:
Pb 0.5000 0.0000 0.0000  2 Zn 2.72
Zn 0.0000 0.0000 0.0000  6 Pb 2.72
Mg 0.5000 0.5000 0.5000  12 Pb 3.84
Pb 0.0000 0.0000 0.5000  2 Zn 2.72
Pb 0.0000 0.5000 0.0000  2 Zn 2.72

The formation energy is 0.328 eV/atom. The calculation puts the energy above the most stable polymorph in this dataset at 0.0 kJ per mole of atoms. The space-group type is Pm-3m (221). The calculation puts the total energy at -2.47 eV/atom. The value obtained for the density is 7.4 g/cm³.